Computed, not measured: a relaxed Sr5InS6 crystal at the PBE-GGA level of DFT.

Symmetry: C2/m
N(E_F) (states/eV/atom): 0.50
Mass density (g/cm³): 3.8
Crystal system: monoclinic
Energy relative to the elements, uncorrected (eV per atom): -1.8072

a = 7.378 Å, b = 7.379 Å, c = 7.377 Å
α = 59.99°, β = 80.43°, γ = 70.59°
Positions (direct):
Sr: 0.500 0.835 0.330
Sr: 0.000 0.667 0.666
S: 0.249 0.588 0.329
S: 0.247 0.248 0.000
Sr: 0.000 0.333 0.334
S: 0.751 0.083 0.329
S: 0.249 0.917 0.671
Sr: 0.500 0.500 0.000
In: 0.000 0.000 0.000
S: 0.753 0.752 0.000
Sr: 0.500 0.165 0.670
S: 0.751 0.412 0.671